This record from Alexandria describes Ag2Hg2I after structural relaxation. The functional is GGA-PBE.

## Properties
ΔE to the lowest computed polymorph: 11 meV/atom
Fermi-level density of states: 3.8 states/eV per cell
energy relative to the elements, uncorrected: 0.49 eV per formula unit

Lattice parameters (Å, degrees): 4.147 4.147 14.884 90.00 90.00 90.00
Space group I4/mmm (No. 139)
Symmetry-distinct sites (fractional):
Ag1 0.000 0.500 0.250 [4 per cell]
Hg1 0.000 0.000 0.109 [4 per cell]
I1 0.000 0.000 0.500 [2 per cell]